Entry 1:
Entry from Alexandria via LeMat-Bulk: an optimized crystal structure of HfZrIr (PBE).

Cell and atoms, written as POSCAR:
```
HfZrIr
1.0
4.6835 0.0001 -0.0026
0.0000 4.6813 0.2102
-2.3447 -0.2354 5.2391
Zr Ir Hf
2 2 2
direct
0.9064 0.7500 0.8134
0.0936 0.2500 0.1866
0.2490 0.7501 0.4983
0.7510 0.2499 0.5017
0.5968 0.7500 0.1930
0.4032 0.2500 0.8070
```

polymorph energy (0 for the lowest one): 0.000 eV/atom
energy: -9.759 eV/atom
symmetry: Cmcm, No. 63
E_form: -0.638 eV/atom

***

Entry 2:
Entry from Alexandria via LeMat-Bulk: an optimized crystal structure of PaPBr (PBE).

Cell and atoms, written as POSCAR:
```
PaPBr
1.0
4.5027 0.0000 0.0000
2.2513 3.8994 0.0000
2.2513 1.2998 10.5392
Pa Br P
2 2 2
direct
0.7205 0.7205 0.8386
0.2795 0.2795 0.1614
0.1108 0.1108 0.6677
0.8892 0.8892 0.3323
0.3653 0.3653 0.9040
0.6347 0.6347 0.0960
```

polymorph energy (0 for the lowest one): 0.121 eV/atom
energy: -6.576 eV/atom
symmetry: R-3m, No. 166
E_form (uncorrected): -1.049 eV per atom

***

Entry 3:
Entry from Alexandria via LeMat-Bulk: an optimized crystal structure of NdCdSi (PBE).

Cell and atoms, written as POSCAR:
```
NdCdSi
1.0
-3.4787 -1.5954 -1.8476
2.1721 -3.7597 -0.8432
-2.2274 0.4642 3.7930
Si Cd Nd
1 1 1
direct
0.1671 0.0000 0.0000
0.1662 0.3333 0.6667
0.6666 0.6667 0.3333
```

energy: -4.137 eV/atom
symmetry: P-6m2, No. 187
E_form (uncorrected): -0.435 eV per atom